# 1
Density functional theory data (GGA-PBE) for an optimized crystal structure of Cs3TbCe3S8.

Structure (POSCAR):
```
Cs3TbCe3S8
1.0
4.1746 2.4102 8.1607
-4.1746 2.4102 8.1607
0.0000 -4.8204 8.1607
Cs Tb Ce S
3 1 3 8
Direct
0.0000 0.5000 0.5000 Cs
0.5000 0.0000 0.5000 Cs
0.5000 0.5000 0.0000 Cs
0.5000 0.5000 0.5000 Tb
0.0000 0.0000 0.5000 Ce
0.0000 0.5000 0.0000 Ce
0.5000 0.0000 0.0000 Ce
0.2276 0.2276 0.2276 S
0.2294 0.7240 0.7240 S
0.2761 0.2761 0.7706 S
0.2761 0.7706 0.2761 S
0.7240 0.2294 0.7240 S
0.7240 0.7239 0.2294 S
0.7706 0.2761 0.2760 S
0.7724 0.7724 0.7724 S
```

Properties
Raw formation energy in kcal/mol of atoms: -42.07

# 2
Density functional theory data (GGA-PBE) for an optimized crystal structure of CsTb4CeS8.

Structure (POSCAR):
```
CsTb4CeS8
1.0
4.1740 2.4099 6.9976
-4.1740 2.4099 6.9976
0.0000 -4.8198 6.9976
Cs Tb Ce S
1 4 1 8
Direct
0.0000 0.0000 0.0000 Cs
0.3670 0.3670 0.8835 Tb
0.3670 0.8835 0.3670 Tb
0.7457 0.7457 0.7457 Tb
0.8835 0.3670 0.3670 Tb
0.3669 0.3669 0.3669 Ce
0.1385 0.1385 0.5569 S
0.1385 0.5569 0.1385 S
0.1392 0.6183 0.6183 S
0.1439 0.1439 0.1439 S
0.5569 0.1385 0.1385 S
0.6147 0.6147 0.6147 S
0.6183 0.1392 0.6183 S
0.6183 0.6183 0.1392 S
```

Properties
Raw formation energy in kcal/mol of atoms: -42.55

# 3
Density functional theory data (GGA-PBE) for an optimized crystal structure of Cs2CeTe2S6.

Structure (POSCAR):
```
Cs2CeTe2S6
1.0
7.4656 -3.7065 0.0000
7.4656 3.7065 0.0000
-3.9883 0.0000 7.1667
Cs Ce Te S
2 1 2 6
Direct
0.2255 0.2255 0.2242 Cs
0.7745 0.7745 0.7758 Cs
0.0000 0.0000 0.5000 Ce
0.4661 0.4661 0.7933 Te
0.5339 0.5339 0.2067 Te
0.1865 0.6714 0.1984 S
0.1922 0.1922 0.6221 S
0.3286 0.8135 0.8016 S
0.6714 0.1865 0.1984 S
0.8078 0.8078 0.3779 S
0.8135 0.3286 0.8016 S
```

Properties
Raw formation energy in kcal/mol of atoms: -17.41

# 4
Density functional theory data (GGA-PBE) for an optimized crystal structure of Cs2CeThS4.

Structure (POSCAR):
```
Cs2CeThS4
1.0
7.3139 0.0000 0.0000
0.0000 4.2259 0.0000
-2.4400 0.0000 8.1156
Cs Ce Th S
2 1 1 4
Direct
0.0000 0.0000 0.0000 Cs
0.5000 0.5000 0.0000 Cs
0.0000 0.5000 0.5000 Ce
0.5000 0.0000 0.5000 Th
0.2356 0.0000 0.6869 S
0.2769 0.5000 0.3129 S
0.7231 0.5000 0.6871 S
0.7644 0.0000 0.3131 S
```

Properties
Raw formation energy in kcal/mol of atoms: -39.33

# 5
Density functional theory data (GGA-PBE) for an optimized crystal structure of Cs3CeTh2S6.

Structure (POSCAR):
```
Cs3CeTh2S6
1.0
3.6419 -6.3071 0.0000
3.6419 6.3071 0.0000
-2.4286 0.0000 8.1380
Cs Ce Th S
3 1 2 6
Direct
0.0000 0.0000 0.0000 Cs
0.3341 0.6659 0.0000 Cs
0.6659 0.3341 0.0000 Cs
0.5000 0.5000 0.5000 Ce
0.1667 0.8333 0.5000 Th
0.8333 0.1667 0.5000 Th
0.0978 0.4372 0.3117 S
0.2232 0.2232 0.6879 S
0.4372 0.0978 0.3117 S
0.5628 0.9022 0.6883 S
0.7768 0.7768 0.3121 S
0.9022 0.5628 0.6883 S
```

Properties
Raw formation energy in kcal/mol of atoms: -38.89

# 6
Density functional theory data (GGA-PBE) for an optimized crystal structure of Cs4Ce3ThS8.

Structure (POSCAR):
```
Cs4Ce3ThS8
1.0
4.2532 2.4556 8.0892
-4.2532 2.4556 8.0892
0.0000 -4.9112 8.0892
Cs Ce Th S
4 3 1 8
Direct
0.0000 0.0000 0.0000 Cs
0.0000 0.5000 0.5000 Cs
0.5000 0.0000 0.5000 Cs
0.5000 0.5000 0.0000 Cs
0.0000 0.0000 0.5000 Ce
0.0000 0.5000 0.0000 Ce
0.5000 0.0000 0.0000 Ce
0.5000 0.5000 0.5000 Th
0.2285 0.2285 0.2285 S
0.2358 0.7251 0.7251 S
0.2749 0.2749 0.7642 S
0.2749 0.7642 0.2749 S
0.7251 0.2358 0.7251 S
0.7251 0.7251 0.2358 S
0.7642 0.2749 0.2749 S
0.7715 0.7715 0.7715 S
```

Properties
Raw formation energy in kcal/mol of atoms: -39.95

Question: What is the raw formation energy in the fifth record?
Answer: -38.89 kcal/mol of atoms